Below is an optimized crystal structure of Pr6Y2Sc3, with properties calculated at the PBE level.

CIF file:
```
data_Pr6Y2Sc3
_chemical_formula_sum 'Pr12 Y4 Sc6'
_cell_length_a 11.305
_cell_length_b 5.015
_cell_length_c 12.811
_cell_angle_alpha 90.00
_cell_angle_beta 104.49
_cell_angle_gamma 90.00
_symmetry_space_group_name_H-M 'C 1 2/m 1'
_symmetry_Int_Tables_number 12
_symmetry_space_group_name_Hall '-C 2y'
loop_
_atom_site_label
_atom_site_type_symbol
_atom_site_fract_x
_atom_site_fract_y
_atom_site_fract_z
Pr1 Pr 0.043 0.000 0.315
Pr2 Pr 0.097 0.500 0.128
Pr3 Pr 0.225 0.000 0.591
Y1 Y 0.178 0.500 0.781
Sc1 Sc 0.000 0.500 0.500
Sc2 Sc 0.138 0.000 0.957
```

* total magnetic moment: 0.000 μB per atom
* E_form: 50.0 meV per atom
* density of states at the Fermi level: 30.429 states/eV/cell


Below is an optimized crystal structure of SmHo4Tl4, with properties calculated at the PBE level.

CIF file:
```
data_SmHo4Tl4
_chemical_formula_sum 'Sm2 Ho8 Tl8'
_cell_length_a 9.485
_cell_length_b 9.485
_cell_length_c 5.847
_cell_angle_alpha 90.00
_cell_angle_beta 90.00
_cell_angle_gamma 90.00
_symmetry_space_group_name_H-M 'P 42/n'
_symmetry_Int_Tables_number 86
loop_
_symmetry_equiv_pos_as_xyz
'x,y,z'
'-x,-y,-z'
'-y,x+1/2,z+1/2'
'y,-x+1/2,-z+1/2'
'-x+1/2,-y+1/2,z'
'x+1/2,y+1/2,-z'
'y+1/2,-x,z+1/2'
'-y+1/2,x,-z+1/2'
loop_
_atom_site_label
_atom_site_type_symbol
_atom_site_fract_x
_atom_site_fract_y
_atom_site_fract_z
Sm1 Sm 0.250 0.250 0.250
Ho1 Ho 0.094 0.829 0.641
Tl1 Tl 0.039 0.145 0.851
```

* total magnetic moment: 0.000 μB per atom
* E_form: -154.3 meV per atom
* density of states at the Fermi level: 13.206 states/eV/cell